1.
# Rb2LiNp2S6 (PBE-GGA, relaxed)
data_Rb2LiNp2S6
_chemical_formula_sum 'Rb2 Li1 Np2 S6'
_cell_length_a 6.908
_cell_length_b 6.908
_cell_length_c 8.064
_cell_angle_alpha 97.42
_cell_angle_beta 97.42
_cell_angle_gamma 120.63
_space_group_name_H-M_alt 'P 1'
_space_group_IT_number 1
_space_group_name_Hall 'P 1'
loop_
_atom_site_label
_atom_site_fract_x
_atom_site_fract_y
_atom_site_fract_z
_atom_site_occupancy
S1 0.709 0.709 0.681 1
S2 0.947 0.591 0.317 1
S3 0.591 0.947 0.317 1
S4 0.409 0.053 0.683 1
S5 0.291 0.291 0.319 1
Np1 0.665 0.335 0.500 1
Li1 0.000 0.000 0.500 1
S6 0.053 0.409 0.683 1
Np2 0.335 0.665 0.500 1
Rb1 0.841 0.159 0.000 1
Rb2 0.159 0.841 0.000 1
# magnetic moment: 5.00 μB/cell
# energy relative to the elements, uncorrected: -1292.0 meV per atom

2.
# Nd5Dy2Ge4 (PBE-GGA, relaxed)
data_Nd5Dy2Ge4
_chemical_formula_sum 'Nd5 Dy2 Ge4'
_cell_length_a 3.844
_cell_length_b 8.338
_cell_length_c 13.038
_cell_angle_alpha 123.97
_cell_angle_beta 98.48
_cell_angle_gamma 90.00
_space_group_name_H-M_alt 'P 1'
_space_group_IT_number 1
_space_group_name_Hall 'P 1'
loop_
_atom_site_label
_atom_site_fract_x
_atom_site_fract_y
_atom_site_fract_z
_atom_site_occupancy
Ge1 0.605 0.492 0.209 1
Dy1 0.266 0.195 0.531 1
Ge2 0.972 0.678 0.944 1
Nd1 0.500 0.000 0.000 1
Nd2 0.900 0.230 0.799 1
Ge3 0.028 0.322 0.056 1
Nd3 0.838 0.647 0.676 1
Nd4 0.100 0.770 0.201 1
Nd5 0.162 0.353 0.324 1
Ge4 0.395 0.508 0.791 1
Dy2 0.734 0.805 0.469 1
# magnetic moment: 0.00 μB/cell
# calculated formation energy: -0.28 eV per atom